(1)
The following is a DFT calculation (PBE) of a geometry-optimized Pm3CuPd2 structure.

Geometry as POSCAR:
```
Pm3CuPd2
1.0
3.6024 0.0000 0.0000
0.0000 3.6024 0.0000
0.0000 0.0000 10.7064
Pm Cu Pd
3 1 2
Cartesian
0.0000 0.0000 0.0000
0.0000 0.0000 3.5840
0.0000 0.0000 7.1224
1.8012 1.8012 5.3532
1.8012 1.8012 1.7926
1.8012 1.8012 8.9138
```

Results
E	-32.1	eV/cell
V	23.157	Å³ per atom
space group	P4/mmm (123)
ΔE to the lowest computed polymorph	0.07	eV per formula unit
calculated formation energy	-0.563	eV per atom
total magnetization	0.0	μB/f.u.

---

(2)
The following is a DFT calculation (PBE) of a geometry-optimized SiSBr2 structure.

Geometry as POSCAR:
```
SiSBr2
1.0
9.8548 0.0000 0.0000
0.0000 9.8548 0.0000
0.0000 0.0000 4.4737
Si S Br
4 4 8
Cartesian
0.0000 0.0000 0.0000
0.0000 4.9274 1.1184
4.9274 0.0000 3.3552
4.9274 4.9274 2.2368
0.0000 0.0000 2.2368
0.0000 4.9274 3.3552
4.9274 0.0000 1.1184
4.9274 4.9274 0.0000
0.8422 7.3911 0.5592
2.4637 0.8422 3.9144
2.4637 4.0852 1.6776
4.0852 7.3911 2.7960
5.7696 2.4637 2.7960
7.3911 5.7696 1.6776
7.3911 9.0126 3.9144
9.0126 2.4637 0.5592
```

Results
E	-49.9	eV/cell
V	27.154	Å³ per atom
space group	I-42d (122)
ΔE to the lowest computed polymorph	0.00	eV per formula unit
formation energy from raw total energies	0.105	eV per atom
total magnetization	0.6	μB/f.u.

---

(3)
The following is a DFT calculation (PBE) of a geometry-optimized SrNb2GeO8 structure.

Geometry as POSCAR:
```
SrNb2GeO8
1.0
4.4729 -2.9345 0.0000
4.4729 2.9345 0.0000
-0.0163 0.0000 7.2277
Sr Nb Ge O
1 2 1 8
Cartesian
0.0000 0.0000 0.0000
3.2145 0.0000 5.1004
5.7149 0.0000 2.1273
-0.0082 0.0000 3.6139
1.8574 0.0000 3.8309
4.2964 1.5932 4.9963
4.6331 1.5932 2.2314
2.5147 0.0000 6.7646
6.4147 0.0000 0.4631
4.2964 -1.5932 4.9963
4.6331 -1.5932 2.2314
7.0720 0.0000 3.3968
```

Results
E	-94.8	eV/cell
V	15.811	Å³ per atom
space group	C2/m (12)
formation energy from raw total energies	-2.390	eV per atom
total magnetization	0.0	μB/f.u.